Compound: Ba2NaCr2O6
Source: Alexandria
Functional: PBE+U
Structure: optimized geometry

Raw total energy = -6.37 eV per atom
Total magnetic moment = 5.0 μB per cell

Structure (CIF):
```
data_Ba2NaCr2O6
_cell_length_a 7.057
_cell_length_b 7.057
_cell_length_c 7.057
_cell_angle_alpha 50.88
_cell_angle_beta 50.88
_cell_angle_gamma 50.88
_symmetry_space_group_name_H-M 'P 1'
_symmetry_Int_Tables_number 1
_symmetry_space_group_name_Hall 'P 1'
loop_
_atom_site_label
_atom_site_fract_x
_atom_site_fract_y
_atom_site_fract_z
Ba1 0.207 0.207 0.207
Ba2 0.793 0.793 0.793
Na1 0.000 0.000 0.000
Cr1 0.415 0.415 0.415
Cr2 0.585 0.585 0.585
O1 0.241 0.742 0.742
O2 0.258 0.258 0.759
O3 0.258 0.759 0.258
O4 0.742 0.241 0.742
O5 0.742 0.742 0.241
O6 0.759 0.258 0.258
```